VASP calculation (PBE) on crystalline KMoC3 at its relaxed geometry.

The structure belongs to space group Pm-3m (No. 221); the cell edges are 4.191, 4.191 and 4.191 Å and the angles 90.00°, 90.00° and 90.00°. The distinct sites, in fractional coordinates, are K at (0.000, 0.000, 0.000), Mo at (0.500, 0.500, 0.500) and C at (0.000, 0.500, 0.500).

As for the total energy: -6.3840 eV per atom. The offset from the most stable computed form is 0 meV per atom. Its energy relative to the elements is 1.536 eV/atom.